A plane-wave DFT calculation with SCAN was carried out for a PBEsol-optimized structure of TaCoSb3.

Cell: 4.8020 4.8020 4.8020 Å, 90.00 90.00 90.00°
Last column: nearest neighbours and their distance in Å.
Fractional positions:
Ta  0.0000  0.0000  0.0000  12 Sb 3.40
Co  0.5000  0.5000  0.5000  6 Sb 2.40
Sb  0.0000  0.5000  0.5000  2 Co 2.40
Sb  0.5000  0.0000  0.5000  2 Co 2.40
Sb  0.5000  0.5000  0.0000  2 Co 2.40

Summary:
- uncorrected energy (eV/atom) = -38.123
- magnetic moment (μB per formula unit) = 2.05



A plane-wave DFT calculation with SCAN was carried out for a PBEsol-optimized structure of Ta2CoSb.

Cell: 3.5825 4.1787 4.3354 Å, 90.00 90.00 90.00°
Last column: nearest neighbours and their distance in Å.
Fractional positions:
Ta  0.0000  0.0000  0.0000  4 Ta 2.75, 4 Sb 2.81, 4 Co 3.01
Ta  0.5000  0.5000  0.0000  4 Ta 2.75, 4 Co 2.81, 4 Sb 3.01
Co  0.0000  0.5000  0.5000  4 Sb 2.75, 8 Ta 2.81-3.01
Sb  0.5000  0.0000  0.5000  4 Co 2.75, 8 Ta 2.81-3.01

Summary:
- uncorrected energy (eV/atom) = -46.865
- magnetic moment (μB per formula unit) = 0.00



A plane-wave DFT calculation with SCAN was carried out for a PBEsol-optimized structure of TaCo2Sb.

Cell: 7.5507 7.5507 7.5507 Å, 23.79 23.79 23.79°
Last column: nearest neighbours and their distance in Å.
Fractional positions:
Ta  0.0000  0.0000  0.0000  6 Co 2.48
Co  0.2556  0.2556  0.2556  3 Ta 2.48, 3 Sb 2.66
Co  0.7444  0.7444  0.7444  3 Ta 2.48, 3 Sb 2.66
Sb  0.5000  0.5000  0.5000  6 Co 2.66

Summary:
- uncorrected energy (eV/atom) = -34.250
- magnetic moment (μB per formula unit) = 0.00